Entry 1:
Entry from Alexandria: a relaxed structure of TaTcMo2 (PBEsol).

Computed properties:
ΔE_f = -158.0 meV/atom
polymorph energy (0 for the lowest one) = 4.4 meV/atom
N(E_F) = 0.44 states/eV per atom
symmetry = F-43m (216)

a = 4.439 Å, b = 4.439 Å, c = 4.439 Å
α = 60.00°, β = 60.00°, γ = 60.00°
Atoms (fractional coordinates):
Mo1 0.250 0.250 0.250
Mo2 0.000 0.000 0.000
Ta1 0.500 0.500 0.500
Tc1 0.750 0.750 0.750

---

Entry 2:
Entry from Alexandria: a relaxed structure of Mn3VSb2P6O24 (PBEsol).

Computed properties:
ΔE_f (raw) = -1947.6 meV/atom
N(E_F) = 0.30 states/eV per atom
symmetry = R3 (146)

a = 8.584 Å, b = 8.584 Å, c = 8.795 Å
α = 60.79°, β = 60.79°, γ = 60.00°
Site moments in Bohr magnetons follow the coordinates.
Atoms (fractional coordinates):
V1 0.855 0.855 0.435  0.98
P1 0.546 0.249 0.252  0.03
P2 0.463 0.752 0.751  0.02
P3 0.249 0.953 0.252  0.03
P4 0.034 0.463 0.751  0.02
P5 0.953 0.546 0.252  0.03
P6 0.752 0.034 0.751  0.02
Mn1 0.154 0.154 0.538  3.84
Mn2 0.351 0.351 0.948  4.25
Mn3 0.647 0.647 0.058  3.64
O1 0.211 0.983 0.426  0.03
O2 0.880 0.486 0.931  0.03
O3 0.560 0.425 0.250  0.00
O4 0.116 0.532 0.074  0.03
O5 0.085 0.907 0.271  -0.01
O6 0.828 0.980 0.579  -0.01
O7 0.425 0.764 0.250  0.00
O8 0.613 0.828 0.579  -0.01
O9 0.278 0.116 0.074  0.03
O10 0.980 0.613 0.579  -0.01
O11 0.738 0.085 0.271  -0.01
O12 0.703 0.880 0.931  0.03
O13 0.066 0.262 0.755  0.01
O14 0.380 0.211 0.426  0.03
O15 0.584 0.225 0.732  0.01
O16 0.459 0.584 0.732  0.01
O17 0.225 0.459 0.732  0.01
O18 0.532 0.278 0.074  0.03
O19 0.486 0.703 0.931  0.03
O20 0.907 0.738 0.271  -0.01
O21 0.262 0.917 0.755  0.01
O22 0.983 0.380 0.426  0.03
O23 0.764 0.560 0.250  0.00
O24 0.917 0.066 0.755  0.01
Sb1 0.013 0.013 0.960  0.01
Sb2 0.501 0.501 0.496  0.02

---

Entry 3:
Entry from Alexandria: a relaxed structure of CaTa2Mn (PBEsol).

Computed properties:
ΔE_f = 788.1 meV/atom
polymorph energy (0 for the lowest one) = 203.7 meV/atom
N(E_F) = 1.56 states/eV per atom
symmetry = F-43m (216)

a = 4.696 Å, b = 4.696 Å, c = 4.696 Å
α = 60.00°, β = 60.00°, γ = 60.00°
Site moments in Bohr magnetons follow the coordinates.
Atoms (fractional coordinates):
Mn1 0.250 0.250 0.250  3.01
Ta1 0.750 0.750 0.750  0.14
Ta2 0.000 0.000 0.000  -0.34
Ca1 0.500 0.500 0.500  0.03

---

Entry 4:
Entry from Alexandria: a relaxed structure of TlGaAs2Br (PBEsol).

Computed properties:
ΔE_f (raw) = 237.7 meV/atom
N(E_F) = 0.86 states/eV per atom
symmetry = P4/mmm (123)

a = 4.879 Å, b = 4.879 Å, c = 5.464 Å
α = 90.00°, β = 90.00°, γ = 90.00°
Site moments in Bohr magnetons follow the coordinates.
Atoms (fractional coordinates):
As1 0.500 0.000 0.000  0.14
As2 0.000 0.500 0.000  0.14
Ga1 0.000 0.000 0.000  0.00
Tl1 0.500 0.500 0.500  0.00
Br1 0.000 0.000 0.500  0.06

---

Entry 5:
Entry from Alexandria: a relaxed structure of Mg2Ga (PBEsol).

Computed properties:
ΔE_f = -68.5 meV/atom
N(E_F) = 0.38 states/eV per atom
symmetry = R32 (155)

a = 5.329 Å, b = 5.329 Å, c = 5.770 Å
α = 62.50°, β = 62.50°, γ = 60.00°
Atoms (fractional coordinates):
Mg1 0.500 0.500 0.500
Mg2 0.329 0.671 0.000
Mg3 0.671 0.000 0.000
Mg4 0.000 0.329 0.000
Ga1 0.834 0.834 0.499
Ga2 0.166 0.166 0.501

---

Entry 6:
Entry from Alexandria: a relaxed structure of Y2HfO5 (PBEsol).

Computed properties:
ΔE_f (raw) = -3576.4 meV/atom
polymorph energy (0 for the lowest one) = 29.5 meV/atom
N(E_F) = 0.00 states/eV per atom
symmetry = Pnma (62)

a = 3.696 Å, b = 10.545 Å, c = 11.409 Å
α = 90.00°, β = 90.00°, γ = 90.00°
Atoms (fractional coordinates):
O1 0.750 0.256 0.767
O2 0.250 0.262 0.607
O3 0.250 0.235 0.945
O4 0.250 0.244 0.267
O5 0.250 0.484 0.351
O6 0.750 0.265 0.445
O7 0.750 0.516 0.649
O8 0.250 0.000 0.606
O9 0.750 0.000 0.394
O10 0.750 0.738 0.393
O11 0.750 0.765 0.055
O12 0.250 0.984 0.149
O13 0.750 0.500 0.106
O14 0.750 0.756 0.733
O15 0.750 0.238 0.107
O16 0.250 0.735 0.555
O17 0.250 0.744 0.233
O18 0.250 0.500 0.894
O19 0.750 0.016 0.851
O20 0.250 0.762 0.893
Y1 0.250 0.129 0.439
Y2 0.250 0.629 0.061
Y3 0.750 0.372 0.273
Y4 0.750 0.872 0.227
Y5 0.750 0.871 0.561
Y6 0.250 0.628 0.727
Y7 0.750 0.371 0.939
Y8 0.250 0.128 0.773
Hf1 0.750 0.838 0.891
Hf2 0.250 0.662 0.391
Hf3 0.750 0.338 0.609
Hf4 0.250 0.162 0.109

---

- Among the records above, which one has the highest N(E_F)?
  CaTa2Mn

---

- Which value of N(E_F) does entry 5 give?
  0.38 states/eV per atom

---

- The lowest N(E_F) belongs to which entry?
  Y2HfO5